(1)
{"formula": "DyMg2Ga2Cu", "functional": "GGA-PBE", "state": "optimized geometry", "cell": [[-2.444, -4.238, 1.748], [1.293, -2.538, -4.345], [5.045, 1.753, 3.583]], "species": ["Cu", "Mg", "Mg", "Dy", "Ga", "Ga"], "frac_coords": [[0.000, 0.000, 0.000], [0.750, 0.250, 0.500], [0.250, 0.750, 0.500], [0.500, 0.500, 0.000], [0.782, 0.782, 0.565], [0.218, 0.218, 0.435]], "e_form_mev_per_atom": 159, "spacegroup": "I4/mmm, No. 139", "energy_ev_per_cell": -16.988}

(2)
{"formula": "Dy2MgGa4Cu3", "functional": "GGA-PBE", "state": "optimized geometry", "cell": [[4.068, 0.000, 0.000], [0.000, 4.068, 0.000], [0.000, 0.000, 10.970]], "species": ["Dy", "Dy", "Ga", "Ga", "Ga", "Ga", "Cu", "Cu", "Cu", "Mg"], "frac_coords": [[0.500, 0.000, 0.232], [0.000, 0.500, 0.768], [0.500, 0.500, 0.000], [0.500, 0.000, 0.655], [0.000, 0.000, 0.000], [0.000, 0.500, 0.345], [0.000, 0.500, 0.129], [0.500, 0.000, 0.871], [0.000, 0.000, 0.500], [0.500, 0.500, 0.500]], "e_form_mev_per_atom": -413, "spacegroup": "P-4m2, No. 115", "energy_ev_per_cell": -39.327}

(3)
{"formula": "DyMgGa2Cu2", "functional": "GGA-PBE", "state": "optimized geometry", "cell": [[-3.335, 0.046, 2.630], [0.350, -3.053, -2.933], [3.445, -3.867, 4.436]], "species": ["Ga", "Ga", "Dy", "Mg", "Cu", "Cu"], "frac_coords": [[0.667, 0.333, 0.725], [0.333, 0.667, 0.275], [0.000, 0.000, 0.000], [0.000, 0.000, 0.500], [0.667, 0.333, 0.298], [0.333, 0.667, 0.702]], "e_form_mev_per_atom": -387, "spacegroup": "P-3m1, No. 164", "energy_ev_per_cell": -22.762}

(4)
{"formula": "DyMgGaCu", "functional": "GGA-PBE", "state": "optimized geometry", "cell": [[-2.723, -3.923, -0.061], [-0.690, -2.365, -4.091], [2.003, -4.287, -0.647]], "species": ["Dy", "Ga", "Mg", "Cu"], "frac_coords": [[0.000, 0.000, 0.000], [0.750, 0.750, 0.750], [0.500, 0.500, 0.500], [0.250, 0.250, 0.250]], "e_form_mev_per_atom": -368, "spacegroup": "F-43m, No. 216", "energy_ev_per_cell": -14.791}

(5)
{"formula": "NdDyGa2Cu2", "functional": "GGA-PBE", "state": "optimized geometry", "cell": [[-3.813, 2.112, -0.397], [0.126, -3.956, 1.868], [1.053, 3.138, 6.575]], "species": ["Dy", "Ga", "Ga", "Nd", "Cu", "Cu"], "frac_coords": [[0.000, 0.000, 0.500], [0.333, 0.667, 0.268], [0.667, 0.333, 0.732], [0.000, 0.000, 0.000], [0.333, 0.667, 0.723], [0.667, 0.333, 0.277]], "e_form_mev_per_atom": -475, "spacegroup": "P-3m1, No. 164", "energy_ev_per_cell": -26.468}

(6)
{"formula": "Nd2DyGa2Cu2", "functional": "GGA-PBE", "state": "optimized geometry", "cell": [[-3.569, 1.318, 2.217], [0.117, 0.285, 4.393], [1.744, 9.484, 1.545]], "species": ["Ga", "Ga", "Dy", "Cu", "Cu", "Nd", "Nd"], "frac_coords": [[0.270, 0.270, 0.191], [0.730, 0.730, 0.809], [0.000, 0.000, 0.000], [0.391, 0.391, 0.827], [0.609, 0.609, 0.173], [0.123, 0.123, 0.632], [0.877, 0.877, 0.368]], "e_form_mev_per_atom": -389, "spacegroup": "R-3m, No. 166", "energy_ev_per_cell": -31.104}

(7)
{"formula": "Dy2Ga3Cu4Ni", "functional": "GGA-PBE", "state": "optimized geometry", "cell": [[3.930, 0.000, 0.000], [0.000, 3.930, 0.000], [0.000, 0.000, 10.802]], "species": ["Cu", "Cu", "Cu", "Cu", "Ni", "Dy", "Dy", "Ga", "Ga", "Ga"], "frac_coords": [[0.500, 0.000, 0.639], [0.500, 0.500, 0.000], [0.000, 0.000, 0.000], [0.000, 0.500, 0.361], [0.500, 0.500, 0.500], [0.000, 0.500, 0.740], [0.500, 0.000, 0.260], [0.000, 0.000, 0.500], [0.500, 0.000, 0.862], [0.000, 0.500, 0.138]], "e_form_mev_per_atom": -359, "spacegroup": "P-4m2, No. 115", "energy_ev_per_cell": -44.041}

(8)
{"formula": "DyGaCuNi", "functional": "GGA-PBE", "state": "optimized geometry", "cell": [[-0.098, 4.505, 0.207], [-2.973, 2.070, 2.688], [1.417, 2.118, 3.722]], "species": ["Ni", "Dy", "Ga", "Cu"], "frac_coords": [[0.750, 0.750, 0.750], [0.000, 0.000, 0.000], [0.500, 0.500, 0.500], [0.250, 0.250, 0.250]], "e_form_mev_per_atom": -356, "spacegroup": "F-43m, No. 216", "energy_ev_per_cell": -18.929, "de_polymorph_mev_per_atom": 85}